## Pm3Al3Hg2 (PBE)

Data for a geometry-optimized Pm3Al3Hg2 structure.

The structure in POSCAR format:
```
Pm3Al3Hg2
1.0
2.3197 -5.5561 0.0000
2.3197 5.5561 0.0000
0.0000 0.0000 15.2776
Pm Al Hg
6 6 4
direct
0.0881 0.9119 0.6120 Pm
0.0881 0.9119 0.8880 Pm
0.3600 0.6400 0.7500 Pm
0.6400 0.3600 0.2500 Pm
0.9119 0.0881 0.1120 Pm
0.9119 0.0881 0.3880 Pm
0.3518 0.6482 0.2500 Al
0.3920 0.6080 0.5384 Al
0.3920 0.6080 0.9616 Al
0.6080 0.3920 0.0384 Al
0.6080 0.3920 0.4616 Al
0.6482 0.3518 0.7500 Al
0.2054 0.7946 0.1001 Hg
0.2054 0.7946 0.3999 Hg
0.7946 0.2054 0.6001 Hg
0.7946 0.2054 0.8999 Hg
```

Its space group is Cmcm, No. 63. The energy relative to the elements is -3.5 eV/f.u. The calculated volume comes out at 24.613 A^3/atom.